No. 1
The following is a DFT calculation (PBE) of a geometry-optimized TbPr2Sm3Bi6 structure.

```
data_TbPr2Sm3Bi6
_chemical_formula_sum 'Tb1 Pr2 Sm3 Bi6'
_cell_length_a 4.578
_cell_length_b 9.150
_cell_length_c 10.228
_cell_angle_alpha 102.90
_cell_angle_beta 102.93
_cell_angle_gamma 90.00
_space_group_name_H-M_alt 'P 1'
_space_group_IT_number 1
loop_
_space_group_symop_operation_xyz
'x,y,z'
loop_
_atom_site_label
_atom_site_type_symbol
_atom_site_fract_x
_atom_site_fract_y
_atom_site_fract_z
Tb1 Tb 0.500 0.000 0.000
Pr1 Pr 0.834 0.668 0.668
Pr2 Pr 0.166 0.332 0.332
Sm1 Sm 0.500 0.500 0.000
Sm2 Sm 0.832 0.166 0.664
Sm3 Sm 0.168 0.834 0.336
Bi1 Bi 0.335 0.921 0.670
Bi2 Bi 0.666 0.586 0.331
Bi3 Bi 0.665 0.079 0.330
Bi4 Bi 0.998 0.246 0.996
Bi5 Bi 0.002 0.754 0.004
Bi6 Bi 0.334 0.414 0.669
```

Calculated values
E_form, eV per atom: -0.927
Symmetry: C2/m, No. 12

No. 2
The following is a DFT calculation (PBE) of a geometry-optimized AlGaCo2Cl structure.

```
data_AlGaCo2Cl
_chemical_formula_sum 'Al1 Ga1 Co2 Cl1'
_cell_length_a 4.533
_cell_length_b 5.072
_cell_length_c 4.533
_cell_angle_alpha 90.00
_cell_angle_beta 90.00
_cell_angle_gamma 90.00
_space_group_name_H-M_alt 'P 1'
_space_group_IT_number 1
loop_
_space_group_symop_operation_xyz
'x,y,z'
loop_
_atom_site_label
_atom_site_type_symbol
_atom_site_fract_x
_atom_site_fract_y
_atom_site_fract_z
Co1 Co 0.000 0.000 0.500
Co2 Co 0.500 0.000 0.000
Al1 Al 0.000 0.000 0.000
Ga1 Ga 0.500 0.500 0.500
Cl1 Cl 0.000 0.500 0.000
```

Calculated values
Formation energy from raw total energies, kcal/mol of atoms: 18.42
Symmetry: P4/mmm, No. 123

No. 3
The following is a DFT calculation (PBE) of a geometry-optimized PuHgOsO6 structure.

```
data_PuHgOsO6
_chemical_formula_sum 'Pu2 Hg2 Os2 O12'
_cell_length_a 5.471
_cell_length_b 5.471
_cell_length_c 9.980
_cell_angle_alpha 90.00
_cell_angle_beta 90.00
_cell_angle_gamma 120.00
_space_group_name_H-M_alt 'P 1'
_space_group_IT_number 1
loop_
_space_group_symop_operation_xyz
'x,y,z'
loop_
_atom_site_label
_atom_site_type_symbol
_atom_site_fract_x
_atom_site_fract_y
_atom_site_fract_z
Pu1 Pu 0.667 0.333 0.250
Pu2 Pu 0.333 0.667 0.750
Hg1 Hg 0.000 0.000 0.000
Hg2 Hg 0.000 0.000 0.500
Os1 Os 0.333 0.667 0.250
Os2 Os 0.667 0.333 0.750
O1 O 0.620 0.648 0.140
O2 O 0.028 0.380 0.140
O3 O 0.380 0.028 0.640
O4 O 0.972 0.620 0.860
O5 O 0.352 0.380 0.360
O6 O 0.028 0.648 0.360
O7 O 0.648 0.028 0.860
O8 O 0.620 0.972 0.360
O9 O 0.972 0.352 0.640
O10 O 0.352 0.972 0.140
O11 O 0.648 0.620 0.640
O12 O 0.380 0.352 0.860
```

Calculated values
Formation energy from raw total energies, kcal/mol of atoms: -33.38
Symmetry: P-31c, No. 163

No. 4
The following is a DFT calculation (PBE) of a geometry-optimized Re3GeRu structure.

```
data_Re3GeRu
_chemical_formula_sum 'Re3 Ge1 Ru1'
_cell_length_a 4.467
_cell_length_b 4.467
_cell_length_c 4.467
_cell_angle_alpha 90.00
_cell_angle_beta 90.00
_cell_angle_gamma 90.00
_space_group_name_H-M_alt 'P 1'
_space_group_IT_number 1
loop_
_space_group_symop_operation_xyz
'x,y,z'
loop_
_atom_site_label
_atom_site_type_symbol
_atom_site_fract_x
_atom_site_fract_y
_atom_site_fract_z
Re1 Re 0.000 0.500 0.000
Re2 Re 0.000 0.000 0.500
Re3 Re 0.500 0.000 0.000
Ge1 Ge 0.000 0.000 0.000
Ru1 Ru 0.500 0.500 0.500
```

Calculated values
E_form, eV per atom: 1.935
Symmetry: Pm-3m, No. 221

No. 5
The following is a DFT calculation (PBE) of a geometry-optimized Ac2InB3Pt12 structure.

```
data_Ac2InB3Pt12
_chemical_formula_sum 'Ac2 In1 B3 Pt12'
_cell_length_a 7.667
_cell_length_b 7.667
_cell_length_c 7.667
_cell_angle_alpha 62.92
_cell_angle_beta 62.92
_cell_angle_gamma 62.92
_space_group_name_H-M_alt 'P 1'
_space_group_IT_number 1
loop_
_space_group_symop_operation_xyz
'x,y,z'
loop_
_atom_site_label
_atom_site_type_symbol
_atom_site_fract_x
_atom_site_fract_y
_atom_site_fract_z
Ac1 Ac 0.605 0.605 0.605
Ac2 Ac 0.395 0.395 0.395
In1 In 0.000 0.000 0.000
B1 B 0.500 0.000 0.000
B2 B 0.000 0.500 0.000
B3 B 0.000 0.000 0.500
Pt1 Pt 0.321 0.321 0.914
Pt2 Pt 0.878 0.878 0.396
Pt3 Pt 0.396 0.878 0.878
Pt4 Pt 0.914 0.321 0.321
Pt5 Pt 0.878 0.396 0.878
Pt6 Pt 0.321 0.914 0.321
Pt7 Pt 0.679 0.679 0.086
Pt8 Pt 0.122 0.122 0.604
Pt9 Pt 0.604 0.122 0.122
Pt10 Pt 0.086 0.679 0.679
Pt11 Pt 0.122 0.604 0.122
Pt12 Pt 0.679 0.086 0.679
```

Calculated values
E_form, eV per atom: -0.441
Symmetry: R-3m, No. 166

No. 6
The following is a DFT calculation (PBE) of a geometry-optimized PrHoAgRu structure.

```
data_PrHoAgRu
_chemical_formula_sum 'Pr1 Ho1 Ag1 Ru1'
_cell_length_a 3.473
_cell_length_b 3.473
_cell_length_c 7.669
_cell_angle_alpha 90.00
_cell_angle_beta 90.00
_cell_angle_gamma 90.00
_space_group_name_H-M_alt 'P 1'
_space_group_IT_number 1
loop_
_space_group_symop_operation_xyz
'x,y,z'
loop_
_atom_site_label
_atom_site_type_symbol
_atom_site_fract_x
_atom_site_fract_y
_atom_site_fract_z
Pr1 Pr 0.500 0.500 0.792
Ho1 Ho 0.500 0.500 0.346
Ag1 Ag 0.000 0.000 0.091
Ru1 Ru 0.000 0.000 0.555
```

Calculated values
E_form, eV per atom: -0.316
Symmetry: P4mm, No. 99

No. 7
The following is a DFT calculation (PBE) of a geometry-optimized LiNi2Ru structure.

```
data_LiNi2Ru
_chemical_formula_sum 'Li1 Ni2 Ru1'
_cell_length_a 2.546
_cell_length_b 2.546
_cell_length_c 8.600
_cell_angle_alpha 90.00
_cell_angle_beta 90.00
_cell_angle_gamma 116.47
_space_group_name_H-M_alt 'P 1'
_space_group_IT_number 1
loop_
_space_group_symop_operation_xyz
'x,y,z'
loop_
_atom_site_label
_atom_site_type_symbol
_atom_site_fract_x
_atom_site_fract_y
_atom_site_fract_z
Li1 Li 0.500 0.500 0.750
Ni1 Ni 0.000 0.000 0.998
Ni2 Ni 0.000 0.000 0.502
Ru1 Ru 0.500 0.500 0.250
```

Calculated values
E_form, eV per atom: 0.204
Symmetry: Cmmm, No. 65

No. 8
The following is a DFT calculation (PBE) of a geometry-optimized LiCdSb2 structure.

```
data_LiCdSb2
_chemical_formula_sum 'Li1 Cd1 Sb2'
_cell_length_a 4.008
_cell_length_b 4.008
_cell_length_c 6.084
_cell_angle_alpha 90.00
_cell_angle_beta 90.00
_cell_angle_gamma 90.00
_space_group_name_H-M_alt 'P 1'
_space_group_IT_number 1
loop_
_space_group_symop_operation_xyz
'x,y,z'
loop_
_atom_site_label
_atom_site_type_symbol
_atom_site_fract_x
_atom_site_fract_y
_atom_site_fract_z
Sb1 Sb 0.000 0.000 0.743
Sb2 Sb 0.000 0.000 0.257
Li1 Li 0.500 0.500 0.500
Cd1 Cd 0.500 0.500 0.000
```

Calculated values
Formation energy from raw total energies, kcal/mol of atoms: -2.43
Symmetry: P4/mmm, No. 123

No. 9
The following is a DFT calculation (PBE) of a geometry-optimized LiCuSb2I structure.

```
data_LiCuSb2I
_chemical_formula_sum 'Li1 Cu1 Sb2 I1'
_cell_length_a 4.983
_cell_length_b 4.983
_cell_length_c 5.389
_cell_angle_alpha 90.00
_cell_angle_beta 90.00
_cell_angle_gamma 90.00
_space_group_name_H-M_alt 'P 1'
_space_group_IT_number 1
loop_
_space_group_symop_operation_xyz
'x,y,z'
loop_
_atom_site_label
_atom_site_type_symbol
_atom_site_fract_x
_atom_site_fract_y
_atom_site_fract_z
I1 I 0.000 0.000 0.500
Sb1 Sb 0.000 0.500 0.000
Sb2 Sb 0.500 0.000 0.000
Cu1 Cu 0.500 0.500 0.500
Li1 Li 0.000 0.000 0.000
```

Calculated values
Formation energy from raw total energies, kcal/mol of atoms: 13.77
Symmetry: P4/mmm, No. 123

No. 10
The following is a DFT calculation (PBE) of a geometry-optimized PmY5Ho2Tm structure.

```
data_PmY5Ho2Tm
_chemical_formula_sum 'Pm2 Y10 Ho4 Tm2'
_cell_length_a 5.612
_cell_length_b 10.469
_cell_length_c 10.479
_cell_angle_alpha 90.00
_cell_angle_beta 90.00
_cell_angle_gamma 105.55
_space_group_name_H-M_alt 'P 1'
_space_group_IT_number 1
loop_
_space_group_symop_operation_xyz
'x,y,z'
loop_
_atom_site_label
_atom_site_type_symbol
_atom_site_fract_x
_atom_site_fract_y
_atom_site_fract_z
Pm1 Pm 0.804 0.608 0.514
Pm2 Pm 0.196 0.392 0.014
Y1 Y 0.388 0.776 0.025
Y2 Y 0.723 0.445 0.815
Y3 Y 0.479 0.958 0.738
Y4 Y 0.302 0.604 0.705
Y5 Y 0.984 0.968 0.522
Y6 Y 0.612 0.224 0.525
Y7 Y 0.277 0.555 0.315
Y8 Y 0.521 0.042 0.238
Y9 Y 0.698 0.396 0.205
Y10 Y 0.016 0.032 0.022
Ho1 Ho 0.888 0.775 0.818
Ho2 Ho 0.111 0.222 0.736
Ho3 Ho 0.112 0.225 0.318
Ho4 Ho 0.889 0.778 0.236
Tm1 Tm 0.588 0.177 0.952
Tm2 Tm 0.412 0.823 0.452
```

Calculated values
E_form, eV per atom: 0.154
Symmetry: Cmc2_1, No. 36

No. 11
The following is a DFT calculation (PBE) of a geometry-optimized ZnCoB3 structure.

```
data_ZnCoB3
_chemical_formula_sum 'Zn1 Co1 B3'
_cell_length_a 3.791
_cell_length_b 3.791
_cell_length_c 3.791
_cell_angle_alpha 90.00
_cell_angle_beta 90.00
_cell_angle_gamma 90.00
_space_group_name_H-M_alt 'P 1'
_space_group_IT_number 1
loop_
_space_group_symop_operation_xyz
'x,y,z'
loop_
_atom_site_label
_atom_site_type_symbol
_atom_site_fract_x
_atom_site_fract_y
_atom_site_fract_z
Zn1 Zn 0.500 0.500 0.500
B1 B 0.000 0.500 0.000
B2 B 0.000 0.000 0.500
B3 B 0.500 0.000 0.000
Co1 Co 0.000 0.000 0.000
```

Calculated values
E_form, eV per atom: 0.910
Symmetry: Pm-3m, No. 221

No. 12
The following is a DFT calculation (PBE) of a geometry-optimized CsRbP2I structure.

```
data_CsRbP2I
_chemical_formula_sum 'Cs1 Rb1 P2 I1'
_cell_length_a 5.616
_cell_length_b 6.269
_cell_length_c 5.616
_cell_angle_alpha 90.00
_cell_angle_beta 90.00
_cell_angle_gamma 90.00
_space_group_name_H-M_alt 'P 1'
_space_group_IT_number 1
loop_
_space_group_symop_operation_xyz
'x,y,z'
loop_
_atom_site_label
_atom_site_type_symbol
_atom_site_fract_x
_atom_site_fract_y
_atom_site_fract_z
Cs1 Cs 0.500 0.500 0.500
I1 I 0.000 0.000 0.000
Rb1 Rb 0.000 0.500 0.000
P1 P 0.000 0.000 0.500
P2 P 0.500 0.000 0.000
```

Calculated values
Formation energy from raw total energies, kcal/mol of atoms: 8.75
Symmetry: P4/mmm, No. 123